VASP calculation (PBE) on a geometry-optimized YTlCu2F8 structure.

Geometry as POSCAR:
```
YTlCu2F8
1.0
-0.616 3.190 4.858
-4.051 0.266 -4.204
-3.909 -5.921 3.393
Y Tl Cu F
1 1 2 8
direct
0.000 0.000 0.000
0.000 0.000 0.500
0.333 0.667 0.700
0.667 0.333 0.300
0.166 0.332 0.823
0.166 0.834 0.823
0.668 0.834 0.823
0.332 0.166 0.177
0.667 0.333 0.535
0.333 0.667 0.465
0.834 0.668 0.177
0.834 0.166 0.177
```

Summary:
E_form (uncorrected): -2.26 eV/atom